Entry 1:
The following is a DFT calculation (SCAN) of a crystal of AlAgAs2 relaxed with PBEsol.

The structure belongs to space group Pmmm (No. 47); the cell edges are 3.8337, 3.8437 and 4.9109 Å and the angles 90.00°, 90.00° and 90.00°. Symmetry generates all atoms from Al at (0.0000, 0.0000, 0.0000), Ag at (0.0000, 0.5000, 0.5000), As at (0.5000, 0.0000, 0.5000) and As at (0.5000, 0.5000, 0.0000).

The relative energy among the computed polymorphs comes out at 311 meV/atom. The formation energy comes out at 257 meV/atom. The spin magnetization is 0.00 μB/f.u.


Entry 2:
The following is a DFT calculation (SCAN) of a crystal of AlAgAs2 relaxed with PBEsol.

The structure belongs to space group Cmmm (No. 65); the cell edges are 4.3379, 4.3470 and 7.4679 Å and the angles 90.00°, 90.00° and 90.00°. Symmetry generates all atoms from Al at (0.0000, 0.0000, 0.0000), Ag at (0.0000, 0.0000, 0.5000) and As at (0.0000, 0.5000, 0.2389).

The relative energy among the computed polymorphs comes out at 248 meV/atom. The formation energy comes out at 194 meV/atom. The spin magnetization is 0.00 μB/f.u.


Entry 3:
The following is a DFT calculation (SCAN) of a crystal of AlAgAs2 relaxed with PBEsol.

The structure belongs to space group R-3m (No. 166, hexagonal axes); the cell edges are 3.7122, 3.7122 and 18.6981 Å and the angles 90.00°, 90.00° and 120.00°. Symmetry generates all atoms from Al at (0.0000, 0.0000, 0.0000), Ag at (0.0000, 0.0000, 0.5000) and As at (0.0000, 0.0000, 0.2538).

The relative energy among the computed polymorphs comes out at 79 meV/atom. The formation energy comes out at 24 meV/atom. The spin magnetization is 0.00 μB/f.u.


Entry 4:
The following is a DFT calculation (SCAN) of a crystal of AlAgAs2 relaxed with PBEsol.

The structure belongs to space group I-4m2 (No. 119); the cell edges are 4.1316, 4.1316 and 8.3562 Å and the angles 90.00°, 90.00° and 90.00°. Symmetry generates all atoms from Al at (0.0000, 0.0000, 0.0000), Ag at (0.0000, 0.5000, 0.7500), As at (0.0000, 0.0000, 0.5000) and As at (0.0000, 0.5000, 0.2500).

The relative energy among the computed polymorphs comes out at 315 meV/atom. The formation energy comes out at 260 meV/atom. The spin magnetization is 0.00 μB/f.u.